(1)
DFT (PBE-GGA) results for a relaxed Tb2NdScSe6 crystal.

Uncorrected formation energy: -1788 meV per atom
Spin magnetization: 0.0 Bohr magnetons per cell

abc: 7.1950 7.1950 19.3600
angles: 90.00 90.00 120.00
With the nearest neighbours (Å) after each atom.
Space group R3 (No. 146, hexagonal axes)
One atom of each set of equivalent atoms:
Tb: 0.0000 0.0000 0.0000 [3 per cell]  6 Se 2.84-2.92
Tb: 0.0000 0.0000 0.4947 [3 per cell]  6 Se 2.87-2.92
Nd: 0.0000 0.0000 0.1977 [3 per cell]  6 Se 2.91-3.02
Sc: 0.0000 0.0000 0.6906 [3 per cell]  6 Se 2.74-2.76
Se: 0.0082 0.7108 0.5985 [9 per cell]  1 Sc 2.76, 2 Tb 2.84-2.92, 1 Nd 2.91
Se: 0.0277 0.3418 0.7617 [9 per cell]  1 Sc 2.74, 2 Tb 2.87-2.92, 1 Nd 3.02

***

(2)
DFT (PBE-GGA) results for a relaxed Tb4NdScSe8 crystal.

Uncorrected formation energy: -1711 meV per atom
Spin magnetization: 2.5 Bohr magnetons per cell

abc: 8.4004 8.4004 20.7055
angles: 90.00 90.00 120.00
With the nearest neighbours (Å) after each atom.
Space group R3m (No. 160, hexagonal axes)
One atom of each set of equivalent atoms:
Tb: 0.0000 0.0000 0.0000 [3 per cell]  4 Se 2.74-2.76
Tb: 0.0101 0.5051 0.1271 [9 per cell]  6 Se 2.89-2.92
Nd: 0.0000 0.0000 0.6217 [3 per cell]  6 Se 2.97-2.99
Sc: 0.0000 0.0000 0.2514 [3 per cell]  4 Se 2.60-2.63
Se: 0.0000 0.0000 0.3783 [3 per cell]  1 Sc 2.63, 3 Tb 2.90
Se: 0.0000 0.0000 0.8666 [3 per cell]  4 Tb 2.76-2.92
Se: 0.0006 0.5003 0.8725 [9 per cell]  1 Sc 2.60, 2 Tb 2.89
Se: 0.0181 0.5090 0.3809 [9 per cell]  3 Tb 2.74-2.91, 1 Nd 2.99

***

(3)
DFT (PBE-GGA) results for a relaxed Tb3Nd2ScSe6 crystal.

Uncorrected formation energy: -1749 meV per atom
Spin magnetization: 0.0 Bohr magnetons per cell

abc: 17.8808 4.0944 8.2660
angles: 90.00 103.07 90.00
With the nearest neighbours (Å) after each atom.
Space group C2/m (No. 12)
One atom of each set of equivalent atoms:
Tb: 0.0000 0.0000 0.0000 [2 per cell]  6 Se 2.84-2.97
Tb: 0.1723 0.5000 0.3357 [4 per cell]  6 Se 2.86-2.93
Nd: 0.1678 0.5000 0.8348 [4 per cell]  6 Se 2.95-3.00
Sc: 0.0000 0.0000 0.5000 [2 per cell]  6 Se 2.78-2.85
Se: 0.0044 0.5000 0.2630 [4 per cell]  2 Sc 2.85, 3 Tb 2.93-2.97, 1 Nd 3.00
Se: 0.1595 0.0000 0.5719 [4 per cell]  1 Sc 2.78, 3 Tb 2.87-2.93, 2 Nd 2.96
Se: 0.1629 0.0000 0.0902 [4 per cell]  3 Tb 2.84-2.86, 3 Nd 2.95-2.96

***

(4)
DFT (PBE-GGA) results for a relaxed TbNd3Sc2Se6 crystal.

Uncorrected formation energy: -1735 meV per atom
Spin magnetization: 0.0 Bohr magnetons per cell

abc: 7.0033 12.1831 7.2095
angles: 90.00 109.03 90.00
With the nearest neighbours (Å) after each atom.
Space group C2/m (No. 12)
One atom of each set of equivalent atoms:
Tb: 0.0000 0.0000 0.0000 [2 per cell]  6 Se 2.85-2.87
Nd: 0.0000 0.1612 0.5000 [4 per cell]  6 Se 2.97-3.02
Nd: 0.0000 0.5000 0.5000 [2 per cell]  6 Se 2.95-3.02
Sc: 0.0000 0.3339 0.0000 [4 per cell]  6 Se 2.75-2.78
Se: 0.2300 0.5000 0.2231 [4 per cell]  2 Sc 2.75, 1 Tb 2.85, 3 Nd 2.95-2.99
Se: 0.2479 0.1722 0.2279 [8 per cell]  2 Sc 2.78, 1 Tb 2.87, 3 Nd 2.97-3.02

***

(5)
DFT (PBE-GGA) results for a relaxed NdScTeSe crystal.

Uncorrected formation energy: -1495 meV per atom
Spin magnetization: 0.0 Bohr magnetons per cell

abc: 4.1585 4.1585 20.9337
angles: 90.00 90.00 120.00
With the nearest neighbours (Å) after each atom.
Space group R3m (No. 160, hexagonal axes)
One atom of each set of equivalent atoms:
Nd: 0.0000 0.0000 0.0000 [3 per cell]  3 Se 2.95, 3 Te 3.22
Sc: 0.0000 0.0000 0.5234 [3 per cell]  3 Se 2.72, 3 Te 3.02
Te: 0.0000 0.0000 0.7694 [3 per cell]  3 Sc 3.02, 3 Nd 3.22
Se: 0.0000 0.0000 0.2514 [3 per cell]  3 Sc 2.72, 3 Nd 2.95

***

(6)
DFT (PBE-GGA) results for a relaxed Nd3Th3ScSe8 crystal.

Uncorrected formation energy: -1707 meV per atom
Spin magnetization: 0.0 Bohr magnetons per cell

abc: 8.3322 8.3322 20.6475
angles: 90.00 90.00 120.00
With the nearest neighbours (Å) after each atom.
Space group R-3m (No. 166, hexagonal axes)
One atom of each set of equivalent atoms:
Nd: 0.0000 0.5000 0.0000 [9 per cell]  6 Se 2.95-2.97
Th: 0.0000 0.5000 0.5000 [9 per cell]  6 Se 2.95-2.96
Sc: 0.0000 0.0000 0.5000 [3 per cell]  6 Se 2.85
Se: 0.0000 0.0000 0.2504 [6 per cell]  3 Nd 2.95, 3 Th 2.96
Se: 0.0118 0.5059 0.2466 [18 per cell]  1 Sc 2.85, 2 Th 2.95, 2 Nd 2.97

***

(7)
DFT (PBE-GGA) results for a relaxed Nd2Th3ScSe6 crystal.

Uncorrected formation energy: -1613 meV per atom
Spin magnetization: 0.0 Bohr magnetons per cell

abc: 18.3882 4.1071 8.4562
angles: 90.00 106.46 90.00
With the nearest neighbours (Å) after each atom.
Space group C2/m (No. 12)
One atom of each set of equivalent atoms:
Nd: 0.1652 0.0000 0.3315 [4 per cell]  6 Se 2.94-2.96
Th: 0.0000 0.5000 0.5000 [2 per cell]  6 Se 2.97-3.07
Th: 0.1708 0.0000 0.8355 [4 per cell]  6 Se 2.96-3.04
Sc: 0.0000 0.5000 0.0000 [2 per cell]  6 Se 2.77-2.83
Se: 0.0026 0.0000 0.7707 [4 per cell]  2 Sc 2.83, 1 Nd 2.96, 3 Th 2.98-3.07
Se: 0.1570 0.5000 0.0783 [4 per cell]  1 Sc 2.77, 2 Nd 2.94, 3 Th 2.97-3.04
Se: 0.1680 0.5000 0.5816 [4 per cell]  3 Nd 2.94, 3 Th 2.96-2.97

***

(8)
DFT (PBE-GGA) results for a relaxed NdTh2ScSe4 crystal.

Uncorrected formation energy: -1588 meV per atom
Spin magnetization: 0.0 Bohr magnetons per cell

abc: 7.0158 4.0875 7.3736
angles: 90.00 108.73 90.00
With the nearest neighbours (Å) after each atom.
Space group P2/m (No. 10)
One atom of each set of equivalent atoms:
Nd: 0.0000 0.0000 0.0000 [1 per cell]  6 Se 2.92
Th: 0.0000 0.5000 0.5000 [1 per cell]  6 Se 3.05
Th: 0.5000 0.0000 0.5000 [1 per cell]  6 Se 2.94
Sc: 0.5000 0.5000 0.0000 [1 per cell]  6 Se 2.79-2.81
Se: 0.2597 0.5000 0.2375 [2 per cell]  1 Sc 2.79, 2 Nd 2.92, 3 Th 2.94-3.05
Se: 0.2699 0.0000 0.7707 [2 per cell]  2 Sc 2.81, 1 Nd 2.92, 3 Th 2.94-3.05

***

(9)
DFT (PBE-GGA) results for a relaxed Nd4Th3ScSe8 crystal.

Uncorrected formation energy: -1673 meV per atom
Spin magnetization: 0.0 Bohr magnetons per cell

abc: 8.3475 8.3475 20.5861
angles: 90.00 90.00 120.00
With the nearest neighbours (Å) after each atom.
Space group R-3m (No. 166, hexagonal axes)
One atom of each set of equivalent atoms:
Nd: 0.0000 0.0000 0.0000 [3 per cell]  6 Se 3.07
Nd: 0.0000 0.5000 0.0000 [9 per cell]  6 Se 2.95-2.96
Th: 0.0000 0.5000 0.5000 [9 per cell]  6 Se 2.96
Sc: 0.0000 0.0000 0.5000 [3 per cell]  6 Se 2.84
Se: 0.0000 0.0000 0.2505 [6 per cell]  3 Nd 2.95, 3 Th 2.96
Se: 0.0132 0.5066 0.2467 [18 per cell]  1 Sc 2.84, 2 Th 2.96, 3 Nd 2.96-3.07

***

(10)
DFT (PBE-GGA) results for a relaxed NdThSc2Se4 crystal.

Uncorrected formation energy: -1620 meV per atom
Spin magnetization: 0.0 Bohr magnetons per cell

abc: 6.9095 3.9671 7.2095
angles: 90.00 108.50 90.00
With the nearest neighbours (Å) after each atom.
Space group P2/m (No. 10)
One atom of each set of equivalent atoms:
Nd: 0.0000 0.0000 0.0000 [1 per cell]  6 Se 2.99
Th: 0.5000 0.5000 0.0000 [1 per cell]  6 Se 2.99
Sc: 0.0000 0.5000 0.5000 [1 per cell]  6 Se 2.74-2.75
Sc: 0.5000 0.0000 0.5000 [1 per cell]  6 Se 2.74-2.75
Se: 0.2400 0.0000 0.7197 [2 per cell]  3 Sc 2.74-2.75, 2 Th 2.99, 1 Nd 2.99
Se: 0.2607 0.5000 0.2799 [2 per cell]  3 Sc 2.74-2.75, 1 Th 2.99, 2 Nd 2.99

***

(11)
DFT (PBE-GGA) results for a relaxed Nd3ScTl3Se8 crystal.

Uncorrected formation energy: -1343 meV per atom
Spin magnetization: 0.0 Bohr magnetons per cell

abc: 8.4797 8.4797 22.8442
angles: 90.00 90.00 120.00
With the nearest neighbours (Å) after each atom.
Space group R-3m (No. 166, hexagonal axes)
One atom of each set of equivalent atoms:
Nd: 0.0000 0.5000 0.0000 [9 per cell]  6 Se 2.95-2.97
Sc: 0.0000 0.0000 0.0000 [3 per cell]  6 Se 2.77
Tl: 0.0000 0.5000 0.5000 [9 per cell]  6 Se 3.26-3.27
Se: 0.0000 0.0000 0.2611 [6 per cell]  3 Nd 2.95, 3 Tl 3.26
Se: 0.0212 0.5106 0.7347 [18 per cell]  1 Sc 2.77, 2 Nd 2.97

***

(12)
DFT (PBE-GGA) results for a relaxed NdSc2Tl3Se6 crystal.

Uncorrected formation energy: -1286 meV per atom
Spin magnetization: 0.0 Bohr magnetons per cell

abc: 7.1053 12.2797 8.0900
angles: 90.00 107.01 90.00
With the nearest neighbours (Å) after each atom.
Space group C2/m (No. 12)
One atom of each set of equivalent atoms:
Nd: 0.0000 0.0000 0.0000 [2 per cell]  6 Se 2.94-2.96
Sc: 0.0000 0.3331 0.0000 [4 per cell]  6 Se 2.75-2.78
Tl: 0.0000 0.1610 0.5000 [4 per cell]  6 Se 3.24-3.37
Tl: 0.0000 0.5000 0.5000 [2 per cell]  6 Se 3.23-3.36
Se: 0.2110 0.5000 0.1963 [4 per cell]  2 Sc 2.75, 1 Nd 2.94
Se: 0.2443 0.1773 0.2013 [8 per cell]  2 Sc 2.77-2.78, 1 Nd 2.96

***

(13)
DFT (PBE-GGA) results for a relaxed Nd2ScTl3Se6 crystal.

Uncorrected formation energy: -1326 meV per atom
Spin magnetization: 0.0 Bohr magnetons per cell

abc: 7.3085 12.6371 8.1121
angles: 90.00 107.46 90.00
With the nearest neighbours (Å) after each atom.
Space group C2/m (No. 12)
One atom of each set of equivalent atoms:
Nd: 0.0000 0.1664 0.0000 [4 per cell]  6 Se 2.97-2.98
Sc: 0.0000 0.5000 0.0000 [2 per cell]  6 Se 2.77-2.80
Tl: 0.0000 0.0000 0.5000 [2 per cell]  6 Se 3.29-3.43
Tl: 0.0000 0.3295 0.5000 [4 per cell]  6 Se 3.30-3.42
Se: 0.2244 0.3435 0.2035 [8 per cell]  1 Sc 2.77, 2 Nd 2.97
Se: 0.2441 0.5000 0.7914 [4 per cell]  1 Sc 2.80, 2 Nd 2.98

***

(14)
DFT (PBE-GGA) results for a relaxed NdScTl2Se4 crystal.

Uncorrected formation energy: -1297 meV per atom
Spin magnetization: 0.0 Bohr magnetons per cell

abc: 7.2025 4.1567 8.1038
angles: 90.00 107.15 90.00
With the nearest neighbours (Å) after each atom.
Space group P2/m (No. 10)
One atom of each set of equivalent atoms:
Nd: 0.0000 0.0000 0.0000 [1 per cell]  6 Se 2.95-2.96
Sc: 0.5000 0.5000 0.0000 [1 per cell]  6 Se 2.77-2.80
Tl: 0.0000 0.5000 0.5000 [1 per cell]  6 Se 3.40
Tl: 0.5000 0.0000 0.5000 [1 per cell]  6 Se 3.26
Se: 0.2546 0.5000 0.2067 [2 per cell]  1 Sc 2.77, 2 Nd 2.95
Se: 0.2850 0.0000 0.8018 [2 per cell]  2 Sc 2.80, 1 Nd 2.96

***

(15)
DFT (PBE-GGA) results for a relaxed Nd3TmSc3Se8 crystal.

Uncorrected formation energy: -1770 meV per atom
Spin magnetization: 0.0 Bohr magnetons per cell

abc: 7.9981 7.9981 20.1811
angles: 90.00 90.00 120.00
With the nearest neighbours (Å) after each atom.
Space group R-3m (No. 166, hexagonal axes)
One atom of each set of equivalent atoms:
Nd: 0.0000 0.5000 0.0000 [9 per cell]  6 Se 2.97
Tm: 0.0000 0.0000 0.5000 [3 per cell]  6 Se 2.86
Sc: 0.0000 0.5000 0.5000 [9 per cell]  6 Se 2.75
Se: 0.0000 0.0000 0.2407 [6 per cell]  3 Sc 2.75, 3 Nd 2.97
Se: 0.0133 0.5067 0.7559 [18 per cell]  2 Sc 2.75, 1 Tm 2.86, 2 Nd 2.97

***

(16)
DFT (PBE-GGA) results for a relaxed Nd3Tm2ScSe6 crystal.

Uncorrected formation energy: -1742 meV per atom
Spin magnetization: 0.0 Bohr magnetons per cell

abc: 6.9863 12.1526 7.2900
angles: 90.00 108.75 90.00
With the nearest neighbours (Å) after each atom.
Space group C2/m (No. 12)
One atom of each set of equivalent atoms:
Nd: 0.0000 0.0000 0.0000 [2 per cell]  6 Se 2.99-3.02
Nd: 0.0000 0.3306 0.0000 [4 per cell]  6 Se 2.99-3.02
Tm: 0.0000 0.1661 0.5000 [4 per cell]  6 Se 2.82-2.83
Sc: 0.0000 0.5000 0.5000 [2 per cell]  6 Se 2.77-2.78
Se: 0.2386 0.3361 0.7256 [8 per cell]  1 Sc 2.77, 2 Tm 2.82-2.83, 3 Nd 2.99-3.02
Se: 0.2488 0.0000 0.7286 [4 per cell]  1 Sc 2.78, 2 Tm 2.83, 3 Nd 3.00-3.02

***

(17)
DFT (PBE-GGA) results for a relaxed NdTm2ScSe6 crystal.

Uncorrected formation energy: -1780 meV per atom
Spin magnetization: 0.0 Bohr magnetons per cell

abc: 7.1242 7.1242 19.2203
angles: 90.00 90.00 120.00
With the nearest neighbours (Å) after each atom.
Space group R3 (No. 146, hexagonal axes)
One atom of each set of equivalent atoms:
Nd: 0.0000 0.0000 0.0000 [3 per cell]  6 Se 2.90-3.03
Tm: 0.0000 0.0000 0.2972 [3 per cell]  6 Se 2.82-2.86
Tm: 0.0000 0.0000 0.8032 [3 per cell]  6 Se 2.79-2.87
Sc: 0.0000 0.0000 0.4914 [3 per cell]  6 Se 2.74-2.76
Se: 0.0195 0.7153 0.3982 [9 per cell]  1 Sc 2.76, 2 Tm 2.79-2.86, 1 Nd 2.90
Se: 0.0222 0.3447 0.5618 [9 per cell]  1 Sc 2.74, 2 Tm 2.82-2.87, 1 Nd 3.03

***

(18)
DFT (PBE-GGA) results for a relaxed Nd3TmSc2Se6 crystal.

Uncorrected formation energy: -1723 meV per atom
Spin magnetization: 0.0 Bohr magnetons per cell

abc: 6.9526 12.0958 7.2322
angles: 90.00 108.81 90.00
With the nearest neighbours (Å) after each atom.
Space group C2/m (No. 12)
One atom of each set of equivalent atoms:
Nd: 0.0000 0.0000 0.0000 [2 per cell]  6 Se 2.97-3.01
Nd: 0.0000 0.3361 0.0000 [4 per cell]  6 Se 2.98-3.01
Tm: 0.0000 0.5000 0.5000 [2 per cell]  6 Se 2.81-2.82
Sc: 0.0000 0.1669 0.5000 [4 per cell]  6 Se 2.76-2.77
Se: 0.2341 0.0000 0.7218 [4 per cell]  2 Sc 2.76, 1 Tm 2.81, 3 Nd 2.97-3.00
Se: 0.2445 0.3303 0.7246 [8 per cell]  2 Sc 2.77, 1 Tm 2.82, 3 Nd 2.98-3.01

***

(19)
DFT (PBE-GGA) results for a relaxed Nd2TmScSe6 crystal.

Uncorrected formation energy: -1837 meV per atom
Spin magnetization: 0.0 Bohr magnetons per cell

abc: 6.8472 7.5809 12.2172
angles: 90.00 123.37 90.00
With the nearest neighbours (Å) after each atom.
Space group P2_1/c (No. 14)
One atom of each set of equivalent atoms:
Nd: 0.2044 0.1057 0.2480 [4 per cell]  6 Se 2.95-3.13
Tm: 0.5000 0.0000 0.0000 [2 per cell]  6 Se 2.78-2.81
Sc: 0.0000 0.0000 0.5000 [2 per cell]  6 Se 2.68-2.72
Se: 0.0988 0.1870 0.9315 [4 per cell]  1 Sc 2.72, 1 Tm 2.78, 1 Nd 3.01
Se: 0.2544 0.6794 0.9317 [4 per cell]  1 Sc 2.68, 1 Tm 2.81, 1 Nd 3.00
Se: 0.3869 0.0428 0.7442 [4 per cell]  1 Sc 2.71, 1 Tm 2.79, 2 Nd 2.95-2.97

***

(20)
DFT (PBE-GGA) results for a relaxed Nd2Tm3ScSe6 crystal.

Uncorrected formation energy: -1699 meV per atom
Spin magnetization: 0.0 Bohr magnetons per cell

abc: 17.7870 4.0402 8.2201
angles: 90.00 104.01 90.00
With the nearest neighbours (Å) after each atom.
Space group C2/m (No. 12)
One atom of each set of equivalent atoms:
Nd: 0.1682 0.0000 0.3356 [4 per cell]  6 Se 2.95-3.00
Tm: 0.0000 0.5000 0.5000 [2 per cell]  6 Se 2.78-2.91
Tm: 0.1722 0.0000 0.8358 [4 per cell]  6 Se 2.80-2.87
Sc: 0.0000 0.5000 0.0000 [2 per cell]  6 Se 2.79-2.85
Se: 0.0057 0.0000 0.7582 [4 per cell]  2 Sc 2.85, 3 Tm 2.87-2.91, 1 Nd 3.00
Se: 0.1611 0.5000 0.5945 [4 per cell]  3 Tm 2.78-2.80, 3 Nd 2.95-2.96
Se: 0.1616 0.5000 0.0681 [4 per cell]  1 Sc 2.79, 3 Tm 2.82-2.87, 2 Nd 2.97